The following is a DFT calculation (SCAN) of Cr2FeTc at its PBEsol-relaxed geometry.

Calculated values
E above lowest polymorph   0.2762 eV/atom
Mass density   9.11 g/cm3
Space group   R-3m
Crystal system   trigonal
Energy of formation   339 meV/atom

a b c (Å): 2.556 2.556 8.429
angles (deg): 81.28 81.28 60.00
Last column: magnetic moment on the atom in μB.
Atoms (fractional coordinates):
1 Fe 0.000 0.000 0.000  1.96
2 Cr 0.255 0.255 0.234  -0.74
3 Cr 0.745 0.745 0.766  -0.74
4 Tc 0.500 0.500 0.500  0.11

The following is a DFT calculation (SCAN) of Ca4MgIr at its PBEsol-relaxed geometry.

Calculated values
Mass density   3.97 g/cm3
Space group   F-43m
Crystal system   cubic
Energy of formation   719 meV/atom

a b c (Å): 6.065 6.065 6.065
angles (deg): 60.00 60.00 60.00
Atoms (fractional coordinates):
1 Mg 0.000 0.000 0.000
2 Ca 0.377 0.377 0.377
3 Ca 0.377 0.870 0.377
4 Ca 0.870 0.377 0.377
5 Ca 0.377 0.377 0.870
6 Ir 0.750 0.750 0.750

The following is a DFT calculation (SCAN) of TaP3 at its PBEsol-relaxed geometry.

Calculated values
Mass density   7.36 g/cm3
Space group   Imm2
Crystal system   orthorhombic
Energy of formation   -477 meV/atom

a b c (Å): 3.266 4.849 4.849
angles (deg): 60.94 70.32 70.32
Atoms (fractional coordinates):
1 Ta 0.000 0.243 0.757
2 P 0.688 0.345 0.279
3 P 0.312 0.721 0.655
4 P 0.500 0.857 0.143

The following is a DFT calculation (SCAN) of La2AlIn at its PBEsol-relaxed geometry.

Calculated values
Mass density   6.64 g/cm3
Space group   F-43m
Crystal system   cubic
Energy of formation   -45 meV/atom

a b c (Å): 5.295 5.295 5.295
angles (deg): 60.00 60.00 60.00
Atoms (fractional coordinates):
1 In 0.250 0.250 0.250
2 La 0.750 0.750 0.750
3 La 0.000 0.000 0.000
4 Al 0.500 0.500 0.500

The following is a DFT calculation (SCAN) of AgPdNO2 at its PBEsol-relaxed geometry.

Calculated values
Formation energy without anion corrections   1.25 eV/atom
Mass density   6.90 g/cm3
Space group   P4/mmm
Crystal system   tetragonal

a b c (Å): 3.901 4.006 4.006
angles (deg): 90.00 90.00 90.00
Last column: magnetic moment on the atom in μB.
Atoms (fractional coordinates):
1 Ag 0.000 0.000 0.000  0.09
2 O 0.000 0.500 0.000  0.43
3 O 0.000 0.000 0.500  0.43
4 N 0.500 0.000 0.000  1.07
5 Pd 0.500 0.500 0.500  1.12

The following is a DFT calculation (SCAN) of Sn3GeI at its PBEsol-relaxed geometry.

Calculated values
Formation energy without anion corrections   0.50 eV/atom
E above lowest polymorph   0.0000 eV/atom
Mass density   5.85 g/cm3
Space group   Pm-3m
Crystal system   cubic

a b c (Å): 5.403 5.403 5.403
angles (deg): 90.00 90.00 90.00
Atoms (fractional coordinates):
1 I 0.500 0.500 0.500
2 Sn 0.000 0.500 0.000
3 Sn 0.500 0.000 0.000
4 Sn 0.000 0.000 0.500
5 Ge 0.000 0.000 0.000